# Pr2Ga2Pt3 | Alexandria | PBE | optimized geometry
data_Pr2Ga2Pt3
_chemical_formula_sum 'Pr8 Ga8 Pt12'
_symmetry_space_group_name_H-M 'C m c m'
_symmetry_Int_Tables_number 63
_symmetry_space_group_name_Hall '-C 2c 2'
_cell_length_a 4.182
_cell_length_b 19.433
_cell_length_c 7.285
_cell_angle_alpha 90.00
_cell_angle_beta 90.00
_cell_angle_gamma 90.00
loop_
_atom_site_label
_atom_site_fract_x
_atom_site_fract_y
_atom_site_fract_z
Pr1 0.000 0.058 0.250
Pr2 0.000 0.152 0.750
Ga1 0.000 0.308 0.556
Pt1 0.000 0.225 0.250
Pt2 0.000 0.434 0.052
# Total magnetization: 0.000 μB per formula unit
# DFT formation energy: -998 meV/atom
# DOS(E_F): 0.6589 states/eV/atom